Arrangement one

# CuHSe2N | Alexandria via LeMat-Bulk | PBE | optimized geometry
# Total magnetization (μB per atom): 0.18
data_CuHSe2N
_chemical_formula_sum 'Cu1 H1 Se2 N1'
_cell_length_a 5.000
_cell_length_b 5.000
_cell_length_c 3.493
_cell_angle_alpha 90.00
_cell_angle_beta 90.00
_cell_angle_gamma 90.00
_symmetry_space_group_name_H-M 'P 1'
_symmetry_Int_Tables_number 1
_symmetry_space_group_name_Hall 'P 1'
loop_
_atom_site_label
_atom_site_type_symbol
_atom_site_fract_x
_atom_site_fract_y
_atom_site_fract_z
N1 N 0.000 0.000 0.500
Se1 Se 0.500 0.000 0.000
H1 H 0.500 0.500 0.500
Se2 Se 0.000 0.500 0.000
Cu1 Cu 0.000 0.000 0.000



Arrangement two

# CuHSe2N | Alexandria via LeMat-Bulk | PBE | optimized geometry
# Total magnetization (μB per atom): 0.00
data_CuHSe2N
_chemical_formula_sum 'Cu1 H1 Se2 N1'
_cell_length_a 4.878
_cell_length_b 4.878
_cell_length_c 2.658
_cell_angle_alpha 90.00
_cell_angle_beta 90.00
_cell_angle_gamma 90.00
_symmetry_space_group_name_H-M 'P 1'
_symmetry_Int_Tables_number 1
_symmetry_space_group_name_Hall 'P 1'
loop_
_atom_site_label
_atom_site_type_symbol
_atom_site_fract_x
_atom_site_fract_y
_atom_site_fract_z
Se1 Se 0.500 0.000 0.000
H1 H 0.000 0.000 0.000
Se2 Se 0.000 0.500 0.000
N1 N 0.000 0.000 0.500
Cu1 Cu 0.500 0.500 0.500



Relative stability in meV per atom, measured from the most stable structure: arrangement one 432; arrangement two 0